--- i ---
ZrTl2Re: optimized geometry, PBE.

As for the magnetization: 0.0000 μB per atom.

The structure belongs to space group Pmmm (No. 47); the cell edges are 3.550, 4.826 and 4.875 Å and the angles 90.00°, 90.00° and 90.00°. The inequivalent atoms are Zr at (0.000, 0.000, 0.000), Tl at (0.000, 0.500, 0.500), Tl at (0.500, 0.500, 0.000) and Re at (0.500, 0.000, 0.500).

***

--- ii ---
ZrTl2Re: optimized geometry, PBE.

As for the magnetization: 0.0010 μB per atom.

The structure belongs to space group R-3m (No. 166, hexagonal axes); the cell edges are 3.1528, 3.1528 and 29.1318 Å and the angles 90.00°, 90.00° and 120.00°. The inequivalent atoms are Zr at (0.0000, 0.0000, 0.0000), Tl at (0.0000, 0.0000, 0.2445) and Re at (0.0000, 0.0000, 0.5000).

***

Most stable pick: i. Distance to second place: 0.106 eV/atom.

***

--- i ---
Zr2TlRe: optimized geometry, PBE.

As for the magnetization: 0.0000 μB per atom.

The structure belongs to space group P4mm (No. 99); the cell edges are 3.496, 3.496 and 6.690 Å and the angles 90.00°, 90.00° and 90.00°. The inequivalent atoms are Zr at (0.000, 0.000, 0.000), Zr at (0.500, 0.500, 0.262), Tl at (0.500, 0.500, 0.721) and Re at (0.000, 0.000, 0.465).

***

--- ii ---
Zr2TlRe: optimized geometry, PBE.

As for the magnetization: 0.0000 μB per atom.

The structure belongs to space group Fm-3m (No. 225); the cell edges are 6.876, 6.876 and 6.876 Å and the angles 90.00°, 90.00° and 90.00°. The inequivalent atoms are Zr at (0.250, 0.250, 0.250), Tl at (0.000, 0.000, 0.000) and Re at (0.000, 0.000, 0.500).

***

--- iii ---
Zr2TlRe: optimized geometry, PBE.

As for the magnetization: 0.0000 μB per atom.

The structure belongs to space group I-42d (No. 122); the cell edges are 7.828, 7.828 and 5.821 Å and the angles 90.00°, 90.00° and 90.00°. The inequivalent atoms are Zr at (0.204, 0.250, 0.125), Tl at (0.000, 0.000, 0.500) and Re at (0.000, 0.000, 0.000).

***

--- iv ---
Zr2TlRe: optimized geometry, PBE.

As for the magnetization: 0.0000 μB per atom.

The structure belongs to space group C2/m (No. 12); the cell edges are 8.144, 3.242 and 6.917 Å and the angles 90.00°, 98.01° and 90.00°. The inequivalent atoms are Zr at (0.244, 0.000, 0.203), Tl at (0.000, 0.000, 0.500) and Re at (0.000, 0.500, 0.000).

***

Most stable pick: ii. Distance to second place: 0.146 eV/atom.

***

--- i ---
Zr2TlRe: optimized geometry, PBE.

As for the magnetization: 0.0000 μB per atom.

The structure belongs to space group I-4m2 (No. 119); the cell edges are 4.177, 4.177 and 9.289 Å and the angles 90.00°, 90.00° and 90.00°. The inequivalent atoms are Zr at (0.000, 0.000, 0.000), Zr at (0.000, 0.500, 0.250), Tl at (0.000, 0.000, 0.500) and Re at (0.000, 0.500, 0.750).

***

--- ii ---
Zr2TlRe: optimized geometry, PBE.

As for the magnetization: 0.0000 μB per atom.

The structure belongs to space group F-43m (No. 216); the cell edges are 6.814, 6.814 and 6.814 Å and the angles 90.00°, 90.00° and 90.00°. The inequivalent atoms are Zr at (0.000, 0.000, 0.000), Zr at (0.250, 0.250, 0.250), Tl at (0.250, 0.250, 0.750) and Re at (0.000, 0.000, 0.500).

***

--- iii ---
Zr2TlRe: optimized geometry, PBE.

As for the magnetization: 0.0000 μB per atom.

The structure belongs to space group Cmm2 (No. 35); the cell edges are 3.383, 5.100 and 9.740 Å and the angles 90.00°, 90.00° and 90.00°. The inequivalent atoms are Zr at (0.000, 0.000, 0.000), Zr at (0.000, 0.500, 0.275), Tl at (0.000, 0.500, 0.730) and Re at (0.000, 0.000, 0.486).

***

--- iv ---
Zr2TlRe: optimized geometry, PBE.

As for the magnetization: 0.0000 μB per atom.

The structure belongs to space group R-3m (No. 166, hexagonal axes); the cell edges are 3.2908, 3.2908 and 27.5393 Å and the angles 90.00°, 90.00° and 120.00°. The inequivalent atoms are Zr at (0.0000, 0.0000, 0.2392), Tl at (0.0000, 0.0000, 0.0000) and Re at (0.0000, 0.0000, 0.5000).

***

Most stable pick: iv. Distance to second place: 0.138 eV/atom.